Compound: Zr4Zn2Au5
Source: the Alexandria database
Functional: GGA-PBE
Structure: relaxed

a = 3.1092 Å, b = 7.1983 Å, c = 9.3963 Å
α = 94.45°, β = 90.00°, γ = 90.00°
Element x y z (fractional)
Au (0.0000, 0.4294, 0.6951)
Au (0.0000, 0.8176, 0.8373)
Au (0.0000, 0.1824, 0.1627)
Au (0.0000, 0.5706, 0.3049)
Au (0.0000, 0.5000, 0.0000)
Zn (0.0000, 0.9432, 0.3685)
Zn (0.0000, 0.0568, 0.6315)
Zr (0.5000, 0.8296, 0.1165)
Zr (0.5000, 0.1704, 0.8835)
Zr (0.5000, 0.7257, 0.5572)
Zr (0.5000, 0.2743, 0.4428)

Output
Space-group type: P2/m (10)
Uncorrected energy: -5.22 eV/atom
ΔE_f: -393 meV per atom
D(E_F): 0.7478 states/eV per atom

Compound: VMoP2
Source: the Alexandria database
Functional: GGA-PBE
Structure: relaxed

a = 5.4595 Å, b = 5.4595 Å, c = 6.5942 Å
α = 65.55°, β = 65.55°, γ = 90.00°
Site moments in Bohr magnetons follow the coordinates.
Element x y z (fractional)
V (0.5000, 0.5000, 0.0000)  1.66
V (0.2500, 0.7500, 0.5000)  1.66
P (0.1267, 0.6250, 0.2500)  -0.08
P (0.3750, 0.3767, 0.7500)  -0.08
P (0.8750, 0.8733, 0.7500)  -0.08
P (0.6233, 0.1250, 0.2500)  -0.08
Mo (0.7500, 0.2500, 0.5000)  1.08
Mo (0.0000, 0.0000, 0.0000)  1.08

Output
Space-group type: I-42d (122)
Uncorrected energy: -7.60 eV/atom
ΔE_f: 94 meV per atom
D(E_F): 0.8496 states/eV per atom
Excess energy over the best structure of this formula in the dataset: 80.0 kJ per mole of atoms

Compound: Ba2ReRu
Source: the Alexandria database
Functional: GGA-PBE
Structure: relaxed

a = 9.9942 Å, b = 9.9942 Å, c = 3.6475 Å
α = 80.27°, β = 80.27°, γ = 20.73°
Element x y z (fractional)
Ru (0.2500, 0.2500, 0.2500)
Ba (0.8934, 0.8934, 0.1173)
Ba (0.6066, 0.6066, 0.3827)
Re (0.7500, 0.7500, 0.7500)

Output
Space-group type: C2/m (12)
Uncorrected energy: -5.77 eV/atom
ΔE_f: 620 meV per atom
D(E_F): 1.0688 states/eV per atom
Excess energy over the best structure of this formula in the dataset: 31.5 kJ per mole of atoms